This record from Alexandria describes an optimized crystal structure of MgFe2O4. The functional is PBE with a Hubbard U.

For the magnetization, the calculation gives 20.00 μB per cell. The total energy is -5.89 eV/atom. The relative energy among the computed polymorphs is 563 meV per atom.

The structure belongs to space group I4/mmm (No. 139); the cell edges are 3.859, 3.859 and 10.368 Å and the angles 90.00°, 90.00° and 90.00°. Symmetry generates all atoms from Mg at (0.000, 0.000, 0.000), Fe at (0.000, 0.000, 0.369), O at (0.000, 0.000, 0.198) and O at (0.000, 0.500, 0.000).